# SnTe3Os PBE relaxed
# * energy above the lowest structure with this stoichiometry: 0.0000 eV/atom
# * SG: Pm-3m (221)
data_SnTe3Os
_chemical_formula_sum 'Sn1 Te3 Os1'
_cell_length_a 5.2720
_cell_length_b 5.2720
_cell_length_c 5.2720
_cell_angle_alpha 90.00
_cell_angle_beta 90.00
_cell_angle_gamma 90.00
_space_group_name_H-M_alt 'P 1'
_space_group_IT_number 1
loop_
_space_group_symop_operation_xyz
'x,y,z'
loop_
_atom_site_label
_atom_site_fract_x
_atom_site_fract_y
_atom_site_fract_z
_atom_site_occupancy
Sn1 0.0000 0.0000 0.0000 1
Te1 0.0000 0.5000 0.5000 1
Te2 0.5000 0.0000 0.5000 1
Te3 0.5000 0.5000 0.0000 1
Os1 0.5000 0.5000 0.5000 1